Entry 1:
# Cs4RhO5

A relaxed Cs4RhO5 crystal (PBE, Alexandria via LeMat-Bulk).

a = 8.9603 Å, b = 8.9603 Å, c = 6.0353 Å
α = 90.00°, β = 90.00°, γ = 90.00°
Closest atoms and distances in Å follow each position.
Space group I4 (No. 79)
Inequivalent atoms, fractional coordinates:
Cs1 0.1108 0.7039 0.0000 (multiplicity 8)  5 O 2.89-3.16
Rh1 0.0000 0.0000 0.5497 (multiplicity 2)  5 O 1.87-1.95
O1 0.0000 0.0000 0.8593 (multiplicity 2)  1 Rh 1.87
O2 0.0668 0.7955 0.4979 (multiplicity 8)  1 Rh 1.95

Computed properties:
Uncorrected formation energy   -10.41 eV per formula unit

=====

Entry 2:
# TiNb6Tc5

A relaxed TiNb6Tc5 crystal (PBE, Alexandria via LeMat-Bulk).

a = 4.5339 Å, b = 13.5785 Å, c = 6.3907 Å
α = 90.00°, β = 90.00°, γ = 90.00°
Closest atoms and distances in Å follow each position.
Space group Cmmm (No. 65)
Inequivalent atoms, fractional coordinates:
Ti1 0.0000 0.0000 0.0000 (multiplicity 2)  8 Nb 2.78-2.79
Nb1 0.0000 0.1682 0.2509 (multiplicity 8)  7 Tc 2.74-2.78, 1 Ti 2.79
Nb2 0.0000 0.5000 0.2517 (multiplicity 4)  6 Tc 2.76-2.78, 2 Ti 2.78
Tc1 0.0000 0.0000 0.5000 (multiplicity 2)  8 Nb 2.77-2.78
Tc2 0.0000 0.3320 0.5000 (multiplicity 4)  8 Nb 2.74-2.78
Tc3 0.0000 0.3346 0.0000 (multiplicity 4)  8 Nb 2.76-2.78

Computed properties:
DFT formation energy   -305.3 meV/atom

=====

Entry 3:
# Pr5NdY12

A relaxed Pr5NdY12 crystal (PBE, Alexandria via LeMat-Bulk).

a = 6.2904 Å, b = 10.8974 Å, c = 17.6689 Å
α = 90.00°, β = 96.79°, γ = 90.00°
Closest atoms and distances in Å follow each position.
Space group C2/m (No. 12)
Inequivalent atoms, fractional coordinates:
Pr1 0.0000 0.0000 0.0000 (multiplicity 2)  6 Pr 3.63, 6 Y 3.64
Pr2 0.0000 0.1667 0.5000 (multiplicity 4)  6 Y 3.61, 3 Nd 3.63, 3 Pr 3.63
Pr3 0.0000 0.3333 0.0000 (multiplicity 4)  6 Pr 3.63, 6 Y 3.64
Nd1 0.0000 0.5000 0.5000 (multiplicity 2)  6 Y 3.60-3.61, 6 Pr 3.63
Y1 0.1095 0.1667 0.8303 (multiplicity 8)  9 Y 3.55-3.63, 3 Pr 3.64
Y2 0.1095 0.5000 0.8304 (multiplicity 4)  9 Y 3.55-3.63, 3 Pr 3.64
Y3 0.2221 0.0000 0.6673 (multiplicity 4)  9 Y 3.55-3.63, 2 Pr 3.61, 1 Nd 3.61
Y4 0.2216 0.3335 0.6672 (multiplicity 8)  9 Y 3.55-3.63, 1 Nd 3.60, 2 Pr 3.61

Computed properties:
DFT formation energy   1.2 meV/atom

=====

Entry 4:
# CeDyPuAg

A relaxed CeDyPuAg crystal (PBE, Alexandria via LeMat-Bulk).

a = 7.4290 Å, b = 7.4290 Å, c = 7.4290 Å
α = 90.00°, β = 90.00°, γ = 90.00°
Closest atoms and distances in Å follow each position.
Space group F-43m (No. 216)
Inequivalent atoms, fractional coordinates:
Ce1 0.0000 0.0000 0.0000 (multiplicity 4)  4 Pu 3.22, 4 Ag 3.22
Dy1 0.0000 0.0000 0.5000 (multiplicity 4)  4 Pu 3.22, 4 Ag 3.22
Pu1 0.2500 0.2500 0.7500 (multiplicity 4)  4 Dy 3.22, 4 Ce 3.22
Ag1 0.2500 0.2500 0.2500 (multiplicity 4)  4 Dy 3.22, 4 Ce 3.22

Computed properties:
DFT formation energy   95.9 meV/atom

=====

Entry 5:
# TcHgI2O

A relaxed TcHgI2O crystal (PBE, Alexandria via LeMat-Bulk).

a = 6.0261 Å, b = 6.0261 Å, c = 4.0335 Å
α = 90.00°, β = 90.00°, γ = 90.00°
Closest atoms and distances in Å follow each position.
Space group P4/mmm (No. 123)
Inequivalent atoms, fractional coordinates:
Tc1 0.0000 0.0000 0.0000 (multiplicity 1)  8 I 3.63, 2 Tc 4.03
Hg1 0.5000 0.5000 0.5000 (multiplicity 1)  2 O 2.02
I1 0.0000 0.5000 0.5000 (multiplicity 2)  2 Hg 3.01
O1 0.5000 0.5000 0.0000 (multiplicity 1)  2 Hg 2.02

Computed properties:
Relative energy among the computed polymorphs   1.117 eV per atom
Uncorrected formation energy   4.40 eV per formula unit

=====

Entry 6:
# Hf9CoW4

A relaxed Hf9CoW4 crystal (PBE, Alexandria via LeMat-Bulk).

a = 8.6875 Å, b = 8.6875 Å, c = 8.4709 Å
α = 90.00°, β = 90.00°, γ = 120.00°
Closest atoms and distances in Å follow each position.
Space group P6_3/mmc (No. 194)
Inequivalent atoms, fractional coordinates:
Hf1 0.0846 0.5423 0.2500 (multiplicity 6)  2 W 2.89, 1 Co 3.14, 4 Hf 3.19
Hf2 0.2011 0.4023 0.5595 (multiplicity 12)  1 Co 2.56
Co1 0.3333 0.6667 0.7500 (multiplicity 2)  6 Hf 2.56
W1 0.0000 0.0000 0.0000 (multiplicity 2)  6 W 2.71
W2 0.1123 0.2247 0.2500 (multiplicity 6)  4 W 2.71-2.93, 4 Hf 2.89-2.94

Computed properties:
DFT formation energy   -153.7 meV/atom

=====

Entry 7:
# KAuSe2

A relaxed KAuSe2 crystal (PBE, Alexandria via LeMat-Bulk).

a = 4.9353 Å, b = 3.8199 Å, c = 6.6165 Å
α = 90.00°, β = 90.38°, γ = 90.00°
Closest atoms and distances in Å follow each position.
Space group P2/m (No. 10)
Inequivalent atoms, fractional coordinates:
K1 0.0000 0.0000 0.0000 (multiplicity 1)  8 Se 3.53-3.54, 2 K 3.82
Au1 0.5000 0.0000 0.5000 (multiplicity 1)  4 Se 2.53
Se1 0.4968 0.5000 0.7498 (multiplicity 2)  2 Au 2.53

Computed properties:
Uncorrected formation energy   -2.23 eV per formula unit

=====

Entry 8:
# Ca3MgCu3

A relaxed Ca3MgCu3 crystal (PBE, Alexandria via LeMat-Bulk).

a = 8.9648 Å, b = 4.2168 Å, c = 10.0637 Å
α = 90.00°, β = 111.41°, γ = 90.00°
Closest atoms and distances in Å follow each position.
Space group P2_1/m (No. 11)
Inequivalent atoms, fractional coordinates:
Ca1 0.0335 0.2500 0.2632 (multiplicity 2)  6 Cu 2.95-3.04
Ca2 0.3109 0.7500 0.1305 (multiplicity 2)  6 Cu 2.97-3.10
Ca3 0.3254 0.7500 0.5816 (multiplicity 2)  4 Cu 3.15-3.21, 2 Mg 3.47
Mg1 0.2764 0.2500 0.8359 (multiplicity 2)  5 Cu 2.65-2.79
Cu1 0.0546 0.2500 0.9709 (multiplicity 2)  2 Cu 2.48
Cu2 0.0580 0.2500 0.5635 (multiplicity 2)  2 Cu 2.49, 1 Mg 2.73
Cu3 0.4729 0.7500 0.9206 (multiplicity 2)  2 Cu 2.58, 3 Mg 2.65-2.68

Computed properties:
Relative energy among the computed polymorphs   0.015 eV per atom
DFT formation energy   -125.2 meV/atom

=====

Entry 9:
# Dy12Sb6Os

A relaxed Dy12Sb6Os crystal (PBE, Alexandria via LeMat-Bulk).

a = 13.0619 Å, b = 13.0619 Å, c = 12.0826 Å
α = 90.00°, β = 90.00°, γ = 120.00°
Closest atoms and distances in Å follow each position.
Space group R-3 (No. 148, hexagonal axes)
Inequivalent atoms, fractional coordinates:
Dy1 0.0288 0.8385 0.3872 (multiplicity 18)  4 Sb 3.06-3.25
Dy2 0.0619 0.8688 0.8791 (multiplicity 18)  1 Os 2.67
Sb1 0.0445 0.7601 0.6393 (multiplicity 18)  7 Dy 3.06-3.28
Os1 0.0000 0.0000 0.0000 (multiplicity 3)  6 Dy 2.67

Computed properties:
Uncorrected formation energy   -11.88 eV per formula unit

=====

Entry 10:
# CaCrP2Ru

A relaxed CaCrP2Ru crystal (PBE, Alexandria via LeMat-Bulk).

a = 4.0106 Å, b = 4.0106 Å, c = 9.9954 Å
α = 90.00°, β = 90.00°, γ = 90.00°
Closest atoms and distances in Å follow each position.
Space group I-4m2 (No. 119)
Inequivalent atoms, fractional coordinates:
Ca1 0.0000 0.0000 0.0000 (multiplicity 2)  8 P 3.11, 4 Cr 3.20, 4 Ru 3.20
Cr1 0.0000 0.5000 0.2500 (multiplicity 2)  4 P 2.35
P1 0.0000 0.0000 0.3732 (multiplicity 4)  2 Cr 2.35, 2 Ru 2.35, 1 P 2.53
Ru1 0.0000 0.5000 0.7500 (multiplicity 2)  4 P 2.35

Computed properties:
DFT formation energy   -784.8 meV/atom

=====

Entry 11:
# LaCeAl4

A relaxed LaCeAl4 crystal (PBE, Alexandria via LeMat-Bulk).

a = 8.0501 Å, b = 8.0501 Å, c = 8.0501 Å
α = 90.00°, β = 90.00°, γ = 90.00°
Closest atoms and distances in Å follow each position.
Space group F-43m (No. 216)
Inequivalent atoms, fractional coordinates:
La1 0.0000 0.0000 0.0000 (multiplicity 4)  12 Al 3.34, 4 Ce 3.49
Ce1 0.2500 0.2500 0.2500 (multiplicity 4)  12 Al 3.34, 4 La 3.49
Al1 0.1245 0.1245 0.6245 (multiplicity 16)  6 Al 2.83-2.86

Computed properties:
DFT formation energy   -463.4 meV/atom

=====

Entry 12:
# PtIBr2

A relaxed PtIBr2 crystal (PBE, Alexandria via LeMat-Bulk).

a = 3.3159 Å, b = 3.3159 Å, c = 39.6477 Å
α = 90.00°, β = 90.00°, γ = 120.00°
Closest atoms and distances in Å follow each position.
Space group R-3m (No. 166, hexagonal axes)
Inequivalent atoms, fractional coordinates:
Pt1 0.0000 0.0000 0.0000 (multiplicity 3)  2 Br 2.36
I1 0.0000 0.0000 0.5000 (multiplicity 3)  6 I 3.32
Br1 0.0000 0.0000 0.0594 (multiplicity 6)  1 Pt 2.36

Computed properties:
Relative energy among the computed polymorphs   0.390 eV per atom
Uncorrected formation energy   1.05 eV per formula unit